Record 1
A plane-wave DFT calculation with GGA-PBE was carried out for a relaxed Cs3Pm3TaS8 crystal.

Unit cell a=8.085 b=8.086 c=9.486 alpha=115.23 beta=90.00 gamma=120.00
Element x y z (fractional)
S 0.758 0.966 0.673
S 0.270 0.541 0.311
S 0.730 0.459 0.689
S 0.792 0.584 0.326
S 0.242 0.034 0.327
S 0.792 0.034 0.327
S 0.208 0.416 0.674
S 0.208 0.966 0.673
Cs 0.500 0.500 0.000
Cs 0.000 0.500 0.000
Cs 0.000 0.000 0.000
Pm 0.500 0.500 0.500
Pm 0.500 0.000 0.500
Pm 0.000 0.500 0.500
Ta 0.000 0.000 0.500

- DOS(E_F) (states/eV/atom) = 0.31
- ΔE_f (raw) (kJ/mol of atoms) = -155

---

Record 2
A plane-wave DFT calculation with GGA-PBE was carried out for a relaxed Sr2SnTeIr crystal.

Unit cell a=5.832 b=5.832 c=5.010 alpha=90.00 beta=90.00 gamma=90.00
Element x y z (fractional)
Sn 0.000 0.000 0.500
Sr 0.500 0.000 0.000
Sr 0.000 0.500 0.000
Te 0.500 0.500 0.500
Ir 0.000 0.000 0.000

- DOS(E_F) (states/eV/atom) = 0.29
- ΔE_f (raw) (kJ/mol of atoms) = -65

---

Record 3
A plane-wave DFT calculation with GGA-PBE was carried out for a relaxed Cs2ZnCl crystal.

Unit cell a=6.294 b=6.294 c=6.294 alpha=60.00 beta=60.00 gamma=60.00
Element x y z (fractional)
Cs 0.250 0.250 0.250
Cs 0.750 0.750 0.750
Zn 0.500 0.500 0.500
Cl 0.000 0.000 0.000

- DOS(E_F) (states/eV/atom) = 1.36
- ΔE_f (raw) (kJ/mol of atoms) = -64
- energy relative to the lowest polymorph listed for this composition (kJ/mol of formula units) = 22

---

Record 4
A plane-wave DFT calculation with GGA-PBE was carried out for a relaxed MnV2CdFe crystal.

Unit cell a=4.162 b=4.837 c=4.162 alpha=90.00 beta=90.00 gamma=90.00
Element x y z (fractional)
Mn 0.000 0.000 0.000
V 0.500 0.000 0.000
V 0.000 0.000 0.500
Fe 0.500 0.500 0.500
Cd 0.000 0.500 0.000

- formation energy from the elements (eV/atom) = 1.25
- DOS(E_F) (states/eV/atom) = 1.94

---

Record 5
A plane-wave DFT calculation with GGA-PBE was carried out for a relaxed Mg3Mo crystal.

Unit cell a=5.936 b=5.936 c=9.767 alpha=90.00 beta=90.00 gamma=120.00
Element x y z (fractional)
Mg 0.840 0.680 0.250
Mg 0.500 0.000 0.500
Mg 0.160 0.840 0.750
Mg 0.500 0.000 0.000
Mg 0.320 0.160 0.250
Mg 0.000 0.500 0.500
Mg 0.000 0.500 0.000
Mg 0.680 0.840 0.750
Mg 0.160 0.320 0.750
Mg 0.840 0.160 0.250
Mg 0.500 0.500 0.500
Mg 0.500 0.500 0.000
Mo 0.333 0.667 0.250
Mo 0.667 0.333 0.750
Mo 0.000 0.000 0.500
Mo 0.000 0.000 0.000

- formation energy from the elements (eV/atom) = 0.32
- DOS(E_F) (states/eV/atom) = 0.43
- energy relative to the lowest polymorph listed for this composition (kJ/mol of formula units) = 46

---

Record 6
A plane-wave DFT calculation with GGA-PBE was carried out for a relaxed Tb5NdDy12 crystal.

Unit cell a=11.182 b=10.312 c=5.957 alpha=89.99 beta=89.99 gamma=57.17
Element x y z (fractional)
Dy 0.344 0.666 0.947
Dy 0.672 0.000 0.955
Dy 0.010 0.334 0.947
Dy 0.825 0.000 0.455
Dy 0.175 0.000 0.545
Dy 0.656 0.334 0.053
Dy 0.509 0.333 0.552
Dy 0.842 0.667 0.552
Dy 0.491 0.667 0.448
Dy 0.990 0.666 0.053
Dy 0.328 0.000 0.045
Dy 0.158 0.333 0.448
Nd 0.000 0.000 0.000
Tb 0.832 0.336 0.500
Tb 0.331 0.337 0.000
Tb 0.500 0.000 0.500
Tb 0.168 0.664 0.500
Tb 0.669 0.663 0.000

- formation energy from the elements (eV/atom) = 0.12
- DOS(E_F) (states/eV/atom) = 1.96

---

| no. | uncorrected energy (eV/atom) |
| --- | --- |
| 1 | -5.719 |
| 2 | -4.549 |
| 3 | -1.868 |
| 4 | -6.102 |
| 5 | -3.587 |
| 6 | -4.503 |